{
  "formula": "WAu",
  "functional": "PBE",
  "state": "optimized geometry",
  "lattice": [[-1.538, 5.424, -6.201], [-6.846, -11.289, -8.175], [-3.900, 1.019, 1.858]],
  "species": ["W", "W", "W", "W", "W", "W", "W", "W", "W", "W", "W", "W", "W", "W", "W", "W", "Au", "Au", "Au", "Au", "Au", "Au", "Au", "Au", "Au", "Au", "Au", "Au", "Au", "Au", "Au", "Au"],
  "frac_coords": [[0.000, 0.917, 0.000], [0.750, 0.167, 0.250], [0.000, 0.083, 0.000], [0.500, 0.083, 0.500], [0.500, 0.583, 0.000], [0.000, 0.583, 0.500], [0.750, 0.667, 0.750], [0.250, 0.833, 0.250], [0.250, 0.667, 0.250], [0.750, 0.333, 0.250], [0.500, 0.917, 0.500], [0.250, 0.333, 0.750], [0.750, 0.833, 0.750], [0.500, 0.417, 0.000], [0.250, 0.167, 0.750], [0.000, 0.417, 0.500], [0.340, 0.500, 0.500], [0.410, 0.250, 0.250], [0.410, 0.750, 0.750], [0.590, 0.250, 0.750], [0.090, 0.250, 0.250], [0.090, 0.750, 0.750], [0.660, 0.000, 0.000], [0.160, 0.000, 0.500], [0.840, 0.500, 0.000], [0.590, 0.750, 0.250], [0.160, 0.500, 0.000], [0.660, 0.500, 0.500], [0.910, 0.750, 0.250], [0.340, 0.000, 0.000], [0.910, 0.250, 0.750], [0.840, 0.000, 0.500]],
  "total_energy_ev_per_cell": -234.84,
  "delta_e_f_ev_per_fu": 1.553
}

=====

{
  "formula": "YAs2HBr",
  "functional": "PBE",
  "state": "optimized geometry",
  "lattice": [[-1.696, -2.084, 3.114], [0.383, -3.496, -2.131], [5.010, -0.792, 2.198]],
  "species": ["As", "As", "Br", "H", "Y"],
  "frac_coords": [[0.000, 0.500, 0.000], [0.500, 0.000, 0.000], [0.000, 0.000, 0.500], [0.000, 0.000, 0.000], [0.500, 0.500, 0.500]],
  "total_energy_ev_per_cell": -22.39
}

=====

{
  "formula": "Dy5Hf3N8",
  "functional": "PBE",
  "state": "optimized geometry",
  "lattice": [[5.811, 0.000, 3.329], [1.952, 5.474, 3.329], [0.001, 0.000, 6.736]],
  "species": ["Dy", "Dy", "Dy", "Dy", "Dy", "Hf", "Hf", "Hf", "N", "N", "N", "N", "N", "N", "N", "N"],
  "frac_coords": [[0.500, 0.000, 0.000], [0.000, 0.000, 0.000], [0.500, 0.500, 0.000], [0.500, 0.500, 0.500], [0.000, 0.500, 0.000], [0.000, 0.000, 0.500], [0.500, 0.000, 0.500], [0.000, 0.500, 0.500], [0.758, 0.758, 0.726], [0.750, 0.750, 0.269], [0.769, 0.250, 0.731], [0.250, 0.250, 0.731], [0.750, 0.231, 0.269], [0.250, 0.769, 0.731], [0.242, 0.242, 0.274], [0.231, 0.750, 0.269]],
  "total_energy_ev_per_cell": -147.91,
  "raw_formation_energy_ev_per_atom": -1.78
}

=====

{
  "formula": "SmDyPt",
  "functional": "PBE",
  "state": "optimized geometry",
  "lattice": [[4.837, -0.232, 0.337], [0.232, 4.732, -0.072], [0.745, 0.071, 7.221]],
  "species": ["Dy", "Dy", "Pt", "Pt", "Sm", "Sm"],
  "frac_coords": [[0.830, 0.366, 0.905], [0.297, 0.866, 0.934], [0.400, 0.366, 0.694], [0.727, 0.867, 0.145], [0.341, 0.366, 0.310], [0.786, 0.866, 0.530]],
  "total_energy_ev_per_cell": -35.71,
  "delta_e_f_ev_per_fu": -2.492
}

=====

{
  "formula": "Sm4CdAg2",
  "functional": "PBE",
  "state": "optimized geometry",
  "lattice": [[-0.939, 4.514, 2.234], [-4.760, 1.185, 1.479], [-0.245, -1.894, 9.600]],
  "species": ["Sm", "Sm", "Sm", "Sm", "Ag", "Ag", "Cd"],
  "frac_coords": [[0.378, 0.378, 0.865], [0.207, 0.207, 0.378], [0.793, 0.793, 0.622], [0.622, 0.622, 0.135], [0.100, 0.100, 0.701], [0.900, 0.900, 0.299], [0.000, 0.000, 0.000]],
  "total_energy_ev_per_cell": -25.64,
  "delta_e_f_ev_per_fu": -0.148
}

=====

{
  "formula": "Nd4Dy3Tm2",
  "functional": "PBE",
  "state": "optimized geometry",
  "lattice": [[-0.912, -6.940, 1.038], [8.862, -0.540, 4.197], [0.987, 1.315, 9.682]],
  "species": ["Nd", "Nd", "Nd", "Nd", "Nd", "Nd", "Nd", "Nd", "Dy", "Dy", "Dy", "Dy", "Dy", "Dy", "Tm", "Tm", "Tm", "Tm"],
  "frac_coords": [[0.000, 0.155, 0.522], [0.000, 0.823, 0.153], [0.000, 0.845, 0.478], [0.500, 0.847, 0.177], [0.000, 0.177, 0.847], [0.500, 0.522, 0.155], [0.500, 0.153, 0.823], [0.500, 0.478, 0.845], [0.750, 0.500, 0.500], [0.250, 0.171, 0.171], [0.250, 0.500, 0.500], [0.750, 0.829, 0.829], [0.250, 0.829, 0.829], [0.750, 0.171, 0.171], [0.500, 0.824, 0.521], [0.000, 0.521, 0.824], [0.000, 0.479, 0.176], [0.500, 0.176, 0.479]],
  "total_energy_ev_per_cell": -82.66,
  "delta_e_f_ev_per_fu": 0.490
}

=====

{
  "formula": "LiCa2Si",
  "functional": "PBE",
  "state": "optimized geometry",
  "lattice": [[-0.412, 4.510, -3.414], [1.401, -1.424, -5.308], [-3.590, -2.292, 3.745]],
  "species": ["Ca", "Ca", "Si", "Li"],
  "frac_coords": [[0.000, 0.000, 0.000], [0.250, 0.750, 0.500], [0.750, 0.250, 0.500], [0.500, 0.500, 0.000]],
  "total_energy_ev_per_cell": -11.61,
  "raw_formation_energy_ev_per_atom": -0.07
}

=====

{
  "formula": "PuAg3O6",
  "functional": "PBE",
  "state": "optimized geometry",
  "lattice": [[-0.490, 5.474, 3.812], [-5.643, -2.535, 2.543], [3.725, -3.124, 4.594]],
  "species": ["O", "O", "O", "O", "O", "O", "O", "O", "O", "O", "O", "O", "Ag", "Ag", "Ag", "Ag", "Ag", "Ag", "Pu", "Pu"],
  "frac_coords": [[0.295, 0.049, 0.978], [0.454, 0.586, 0.794], [0.794, 0.454, 0.586], [0.705, 0.951, 0.022], [0.978, 0.295, 0.049], [0.951, 0.022, 0.705], [0.546, 0.414, 0.206], [0.414, 0.206, 0.546], [0.022, 0.705, 0.951], [0.586, 0.794, 0.454], [0.049, 0.978, 0.295], [0.206, 0.546, 0.414], [0.736, 0.469, 0.936], [0.064, 0.264, 0.531], [0.936, 0.736, 0.469], [0.531, 0.064, 0.264], [0.264, 0.531, 0.064], [0.469, 0.936, 0.736], [0.500, 0.500, 0.500], [0.000, 0.000, 0.000]],
  "total_energy_ev_per_cell": -124.78,
  "raw_formation_energy_ev_per_atom": -0.98
}

=====

{
  "formula": "Ta2TcHg",
  "functional": "PBE",
  "state": "optimized geometry",
  "lattice": [[-1.973, 5.181, 7.033], [-0.639, 2.766, 8.494], [1.133, 5.047, 7.311]],
  "species": ["Ta", "Ta", "Hg", "Tc"],
  "frac_coords": [[0.510, 0.510, 0.510], [0.990, 0.990, 0.990], [0.750, 0.750, 0.750], [0.250, 0.250, 0.250]],
  "total_energy_ev_per_cell": -33.53,
  "delta_e_f_ev_per_fu": 0.846
}

=====

{
  "formula": "CsNi3Hg",
  "functional": "PBE",
  "state": "optimized geometry",
  "lattice": [[-2.258, 0.906, 4.187], [0.718, -4.586, 1.380], [4.223, 1.265, 2.004]],
  "species": ["Cs", "Ni", "Ni", "Ni", "Hg"],
  "frac_coords": [[0.000, 0.000, 0.000], [0.000, 0.000, 0.500], [0.000, 0.500, 0.000], [0.500, 0.000, 0.000], [0.500, 0.500, 0.500]],
  "total_energy_ev_per_cell": -9.14,
  "delta_e_f_ev_per_fu": 9.357
}

=====

{
  "formula": "MnInSi2",
  "functional": "PBE",
  "state": "optimized geometry",
  "lattice": [[-0.511, 0.346, -4.948], [-1.413, -4.398, -1.878], [-1.782, 2.764, 3.748]],
  "species": ["Si", "Si", "In", "Mn"],
  "frac_coords": [[0.500, 0.500, 0.000], [0.000, 0.000, 0.000], [0.250, 0.750, 0.500], [0.750, 0.250, 0.500]],
  "total_energy_ev_per_cell": -21.13,
  "raw_formation_energy_ev_per_atom": 0.41
}